No. 1
This record from Alexandria describes a geometry-optimized KSb2Au structure. The functional is PBE.

Unit cell a=3.5363 b=6.0070 c=10.9155 alpha=90.00 beta=90.00 gamma=90.00
Space group Immm (No. 71)
Unique sites:
K 0.0000 0.0000 0.0000 (multiplicity 2)
Sb 0.0000 0.5000 0.2002 (multiplicity 4)
Au 0.0000 0.0000 0.5000 (multiplicity 2)

Magnetic moment (μB per cell): 0.00
DOS(E_F) (states/eV/cell): 4.00
Formation energy without anion corrections (eV per atom): -0.14
Mass density (kg/m3): 6869

No. 2
This record from Alexandria describes a geometry-optimized K3Sb5Au6 structure. The functional is PBE.

Unit cell a=4.5951 b=13.6800 c=11.9907 alpha=90.00 beta=90.00 gamma=90.00
Space group Pmmn (No. 59, origin choice 2)
Unique sites:
K 0.2500 0.0975 0.2433 (multiplicity 4)
K 0.2500 0.7500 0.2516 (multiplicity 2)
Sb 0.2500 0.0774 0.6420 (multiplicity 4)
Sb 0.2500 0.6178 0.9950 (multiplicity 4)
Sb 0.2500 0.7500 0.6164 (multiplicity 2)
Au 0.2500 0.0620 0.8718 (multiplicity 4)
Au 0.2500 0.2500 0.5124 (multiplicity 2)
Au 0.2500 0.2500 0.9970 (multiplicity 2)
Au 0.2500 0.5790 0.4910 (multiplicity 4)

Magnetic moment (μB per cell): 0.00
DOS(E_F) (states/eV/cell): 11.94
Formation energy without anion corrections (eV per atom): -0.26
Mass density (kg/m3): 8406